Material: Sm4AsSeS2
Method: DFT, PBE
State: optimized geometry

Output
E (eV per atom): -6.2799

Geometry as CIF:
```
data_Sm4AsSeS2
_chemical_formula_sum 'Sm4 As1 Se1 S2'
_symmetry_space_group_name_H-M 'P 1 2/m 1'
_symmetry_Int_Tables_number 10
_symmetry_space_group_name_Hall '-P 2y'
_cell_length_a 7.099
_cell_length_b 4.095
_cell_length_c 7.129
_cell_angle_alpha 90.00
_cell_angle_beta 109.28
_cell_angle_gamma 90.00
loop_
_atom_site_label
_atom_site_fract_x
_atom_site_fract_y
_atom_site_fract_z
_atom_site_occupancy
Sm1 0.235 0.000 0.237 1
Sm2 0.241 0.500 0.755 1
As1 0.500 0.000 0.000 1
Se1 0.500 0.500 0.500 1
S1 0.000 0.000 0.500 1
S2 0.000 0.500 0.000 1
```